1.
{
  "formula": "SrTcC3",
  "functional": "GGA-PBE",
  "state": "optimized geometry",
  "lattice_angstrom": [[4.2613, 0.0000, 0.0000], [0.0000, 4.2613, 0.0000], [0.0000, 0.0000, 4.2613]],
  "species": ["Sr", "Tc", "C", "C", "C"],
  "fractional_positions": [[0.0000, 0.0000, 0.0000], [0.5000, 0.5000, 0.5000], [0.0000, 0.0000, 0.5000], [0.0000, 0.5000, 0.0000], [0.5000, 0.0000, 0.0000]],
  "relative_energy_ev_per_fu": 14.928,
  "ef_mev_per_atom": 4016
}

2.
{
  "formula": "Sr2TcTeC",
  "functional": "GGA-PBE",
  "state": "optimized geometry",
  "lattice_angstrom": [[5.5740, 0.0000, 0.0000], [0.0000, 5.5740, 0.0000], [0.0000, 0.0000, 4.0243]],
  "species": ["Sr", "Sr", "Tc", "Te", "C"],
  "fractional_positions": [[0.0000, 0.5000, 0.0000], [0.5000, 0.0000, 0.0000], [0.0000, 0.0000, 0.5000], [0.5000, 0.5000, 0.5000], [0.0000, 0.0000, 0.0000]],
  "e_form_raw_ev_per_atom": -0.19
}

3.
{
  "formula": "Sr2ZnTcC",
  "functional": "GGA-PBE",
  "state": "optimized geometry",
  "lattice_angstrom": [[5.6298, 0.0000, 0.0000], [0.0000, 5.6298, 0.0000], [0.0000, 0.0000, 4.7756]],
  "species": ["Sr", "Sr", "Zn", "Tc", "C"],
  "fractional_positions": [[0.0000, 0.5000, 0.0000], [0.5000, 0.0000, 0.0000], [0.0000, 0.0000, 0.5000], [0.0000, 0.0000, 0.0000], [0.5000, 0.5000, 0.5000]],
  "ef_mev_per_atom": 1551
}

4.
{
  "formula": "SrTe2C",
  "functional": "GGA-PBE",
  "state": "optimized geometry",
  "lattice_angstrom": [[1.8645, 1.0765, 9.3671], [-1.8645, 1.0765, 9.3671], [0.0000, -2.1530, 9.3671]],
  "species": ["Sr", "Te", "Te", "C"],
  "fractional_positions": [[0.0000, 0.0000, 0.0000], [0.1155, 0.1155, 0.1155], [0.8845, 0.8845, 0.8845], [0.5000, 0.5000, 0.5000]],
  "e_form_raw_ev_per_atom": 1.01
}

5.
{
  "formula": "Sr2TeC",
  "functional": "GGA-PBE",
  "state": "optimized geometry",
  "lattice_angstrom": [[-3.8972, 3.8972, 4.2076], [3.8972, -3.8972, 4.2076], [3.8972, 3.8972, -4.2076]],
  "species": ["Sr", "Sr", "Sr", "Sr", "Te", "Te", "C", "C"],
  "fractional_positions": [[0.0591, 0.6250, 0.9341], [0.3750, 0.3091, 0.4341], [0.6909, 0.1250, 0.0659], [0.8750, 0.9409, 0.5659], [0.2500, 0.7500, 0.5000], [0.5000, 0.5000, 0.0000], [0.0000, 0.0000, 0.0000], [0.7500, 0.2500, 0.5000]],
  "e_form_raw_ev_per_atom": -0.03
}

6.
{
  "formula": "SrTeC2",
  "functional": "GGA-PBE",
  "state": "optimized geometry",
  "lattice_angstrom": [[-3.1125, 3.1125, 3.8393], [3.1125, -3.1125, 3.8393], [3.1125, 3.1125, -3.8393]],
  "species": ["Sr", "Sr", "Te", "Te", "C", "C", "C", "C"],
  "fractional_positions": [[0.0000, 0.0000, 0.0000], [0.7500, 0.2500, 0.5000], [0.2500, 0.7500, 0.5000], [0.5000, 0.5000, 0.0000], [0.2011, 0.6250, 0.0761], [0.3750, 0.4511, 0.5761], [0.5489, 0.1250, 0.9239], [0.8750, 0.7989, 0.4239]],
  "e_form_raw_ev_per_atom": 1.01
}

7.
{
  "formula": "SrTeC3",
  "functional": "GGA-PBE",
  "state": "optimized geometry",
  "lattice_angstrom": [[4.3164, 0.0000, 0.0000], [0.0000, 4.3164, 0.0000], [0.0000, 0.0000, 4.3164]],
  "species": ["Sr", "Te", "C", "C", "C"],
  "fractional_positions": [[0.0000, 0.0000, 0.0000], [0.5000, 0.5000, 0.5000], [0.0000, 0.5000, 0.5000], [0.5000, 0.0000, 0.5000], [0.5000, 0.5000, 0.0000]],
  "relative_energy_ev_per_fu": 0.000,
  "e_form_raw_ev_per_atom": 2.07
}

8.
{
  "formula": "Sr3TeC",
  "functional": "GGA-PBE",
  "state": "optimized geometry",
  "lattice_angstrom": [[5.3894, 0.0000, 0.0000], [0.0000, 5.3894, 0.0000], [0.0000, 0.0000, 5.3894]],
  "species": ["Sr", "Sr", "Sr", "Te", "C"],
  "fractional_positions": [[0.0000, 0.0000, 0.5000], [0.0000, 0.5000, 0.0000], [0.5000, 0.0000, 0.0000], [0.5000, 0.5000, 0.5000], [0.0000, 0.0000, 0.0000]],
  "relative_energy_ev_per_fu": 0.000,
  "e_form_raw_ev_per_atom": -0.37
}

Result set for VASP energy: -3.928; -5.405; -3.294; -3.283; -3.967; -4.806; -4.427; -3.853 eV/atom, one per record in the order listed.